Model P:
Entry from Alexandria: Al2OsBr after structural relaxation (GGA-PBE).

Summary:
Density of states at the Fermi level: 0.27 states/eV/atom
Total magnetization: 0.00 μB per formula unit

Lattice parameters (Å, degrees): 3.2079 3.2079 23.5245 90.00 90.00 120.00
Space group R-3m (No. 166, hexagonal axes)
Unique sites:
Al (0.0000, 0.0000, 0.2397) (multiplicity 6)
Os (0.0000, 0.0000, 0.5000) (multiplicity 3)
Br (0.0000, 0.0000, 0.0000) (multiplicity 3)

---

Model Q:
Entry from Alexandria: Al2OsBr after structural relaxation (GGA-PBE).

Summary:
Density of states at the Fermi level: 0.35 states/eV/atom
Total magnetization: 0.00 μB per formula unit

Lattice parameters (Å, degrees): 4.413 4.413 6.821 90.00 90.00 90.00
Space group I-4m2 (No. 119)
Unique sites:
Al (0.000, 0.000, 0.000) (multiplicity 2)
Al (0.000, 0.500, 0.250) (multiplicity 2)
Os (0.000, 0.000, 0.500) (multiplicity 2)
Br (0.000, 0.500, 0.750) (multiplicity 2)

---

Model R:
Entry from Alexandria: Al2OsBr after structural relaxation (GGA-PBE).

Summary:
Density of states at the Fermi level: 0.64 states/eV/atom
Total magnetization: 0.74 μB per formula unit

Lattice parameters (Å, degrees): 6.453 6.453 6.453 90.00 90.00 90.00
Space group Fm-3m (No. 225)
Unique sites:
Al (0.250, 0.250, 0.250) (multiplicity 8)
Os (0.000, 0.000, 0.000) (multiplicity 4)
Br (0.000, 0.000, 0.500) (multiplicity 4)

---

The most stable of them is model P.